(1)
Computed, not measured: HfPaCoOs after structural relaxation at the PBE level of DFT.

The space group is F-43m (No. 216) and the conventional cell measures 6.630, 6.630 and 6.630 Å, with angles of 90.00, 90.00 and 90.00 degrees. The distinct sites, in fractional coordinates, are Hf at (0.000, 0.000, 0.000), Pa at (0.000, 0.000, 0.500), Co at (0.250, 0.250, 0.750) and Os at (0.250, 0.250, 0.250).

The formation energy comes out at -242 meV/atom.



(2)
Computed, not measured: Tb2Nd3Sm6Tm after structural relaxation at the PBE level of DFT.

The space group is C2/m (No. 12) and the conventional cell measures 6.272, 10.864 and 11.995 Å, with angles of 90.00, 100.05 and 90.00 degrees. The distinct sites, in fractional coordinates, are Tb at (0.000, 0.167, 0.000), Nd at (0.000, 0.000, 0.500), Nd at (0.000, 0.333, 0.500), Sm at (0.249, 0.000, 0.246), Sm at (0.249, 0.334, 0.246) and Tm at (0.000, 0.500, 0.000).

The formation energy comes out at 16 meV/atom.



(3)
Computed, not measured: AlCuBr2 after structural relaxation at the PBE level of DFT.

The space group is I-4m2 (No. 119) and the conventional cell measures 3.916, 3.916 and 13.502 Å, with angles of 90.00, 90.00 and 90.00 degrees. The distinct sites, in fractional coordinates, are Al at (0.000, 0.000, 0.000), Cu at (0.000, 0.500, 0.250), Br at (0.000, 0.000, 0.500) and Br at (0.000, 0.500, 0.750).

As for the formation energy without anion corrections: 0.09 eV/atom. Its energy above the lowest structure with this stoichiometry is 0.451 eV per atom.



(4)
Computed, not measured: CuH2O2 after structural relaxation at the PBE level of DFT.

The space group is P2_1 (No. 4) and the conventional cell measures 2.961, 5.400 and 5.582 Å, with angles of 90.00, 104.59 and 90.00 degrees. The distinct sites, in fractional coordinates, are Cu at (0.170, 0.000, 0.342), H at (0.149, 0.493, 0.272), H at (0.486, 0.662, 0.981), O at (0.220, 0.586, 0.427) and O at (0.447, 0.494, 0.905).

Its energy above the lowest structure with this stoichiometry is 0.004 eV per atom.



(5)
Computed, not measured: In2Cu2Sb after structural relaxation at the PBE level of DFT.

The space group is I4/mmm (No. 139) and the conventional cell measures 3.559, 3.559 and 16.745 Å, with angles of 90.00, 90.00 and 90.00 degrees. The distinct sites, in fractional coordinates, are In at (0.000, 0.000, 0.120), Cu at (0.000, 0.500, 0.250) and Sb at (0.000, 0.000, 0.500).

As for the formation energy without anion corrections: 0.17 eV/atom. Its energy above the lowest structure with this stoichiometry is 0.053 eV per atom.



(6)
Computed, not measured: Ga4SnTe after structural relaxation at the PBE level of DFT.

The space group is F-43m (No. 216) and the conventional cell measures 8.181, 8.181 and 8.181 Å, with angles of 90.00, 90.00 and 90.00 degrees. The distinct sites, in fractional coordinates, are Ga at (0.125, 0.125, 0.125), Sn at (0.000, 0.000, 0.500) and Te at (0.250, 0.250, 0.750).

As for the formation energy without anion corrections: 0.08 eV/atom.



What Fermi-level density of states values result from the calculations? In sequence: 24.79; 33.16; 2.04; 0.58; 4.25; 19.38 states/eV/cell.
What raw total energy values result from the calculations? In sequence: -9.69; -4.68; -2.71; -4.92; -3.39; -3.13 eV per atom.